IrSe2N after structural relaxation. Source: Alexandria via LeMat-Bulk, functional GGA-PBE.

Calculated values
The calculation puts the mass density at 9.84 g/cm3. The raw formation energy comes out at 1160 meV/atom. The value obtained for the size of the total moment is 0.0000 μB/atom.

Geometry as POSCAR:
```
IrSe2N
1.0
0.636 -6.685 4.425
-0.344 -7.825 1.822
2.586 -7.285 2.217
Se Ir N
2 1 1
Cartesian
2.585 -19.575 7.602 Se
0.293 -2.220 0.862 Se
0.000 0.000 0.000 Ir
1.439 -10.898 4.232 N
```